Entry from the Alexandria database: a relaxed structure of La2AlZnC (PBE).

abc: 5.3613 5.3613 3.9432
angles: 90.00 90.00 90.00
Fractional positions:
C  0.0000  0.0000  0.0000
Zn  0.5000  0.5000  0.5000
Al  0.0000  0.0000  0.5000
La  0.0000  0.5000  0.0000
La  0.5000  0.0000  0.0000

Values from the calculation:
DOS(E_F), states/eV/f.u.: 3.52
Electronic total energy, eV for the cell shown: -25.09
V, Å³ per atom: 22.668
Space group: P4/mmm, No. 123